The following is a DFT calculation (PBE) of KEuSiS4 after structural relaxation.

The uncorrected formation energy comes out at -1.26 eV/atom. The calculation puts the volume at 371.21 Å³/cell.

The space group is P2_1 (No. 4) and the conventional cell measures 6.649, 6.645 and 8.803 Å, with angles of 90.00, 107.36 and 90.00 degrees. The asymmetric unit holds K at (0.226, 0.000, 0.434), Eu at (0.270, 0.027, 0.947), Si at (0.279, 0.485, 0.181), S at (0.087, 0.484, 0.334), S at (0.090, 0.440, 0.941), S at (0.469, 0.750, 0.211) and S at (0.487, 0.754, 0.770).